1.
An optimized crystal structure of MgCdPd, computed with PBE.

Unit cell a=3.0474 b=4.7045 c=4.4590 alpha=90.00 beta=90.53 gamma=90.00
Positions (direct):
Mg (0.0000, 0.0000, 0.0000)
Cd (0.0000, 0.5000, 0.5000)
Pd (0.5000, 0.0000, 0.5000)

Values from the calculation:
symmetry	No. 10
formation energy from the elements	-0.409	eV/atom
calculated total energy	-2.977	eV/atom
D(E_F)	1.143	states/eV/cell
energy above the lowest structure with this stoichiometry	0.149	eV per formula unit

***

2.
An optimized crystal structure of ScFeTe2I, computed with PBE.

Unit cell a=5.5824 b=5.5824 c=5.6199 alpha=90.00 beta=90.00 gamma=90.00
Positions (direct):
Sc (0.0000, 0.0000, 0.0000)
Fe (0.5000, 0.5000, 0.5000)
Te (0.0000, 0.5000, 0.0000)
Te (0.5000, 0.0000, 0.0000)
I (0.0000, 0.0000, 0.5000)

Values from the calculation:
symmetry	No. 123
ΔE_f (raw)	0.2578	eV per atom
calculated total energy	-4.268	eV/atom
D(E_F)	7.300	states/eV/cell
energy above the lowest structure with this stoichiometry	0.453	eV per formula unit

***

3.
An optimized crystal structure of Li12PdAu3, computed with PBE.

Unit cell a=3.9487 b=3.9487 c=15.8935 alpha=90.00 beta=90.00 gamma=90.00
Positions (direct):
Li (0.0000, 0.0000, 0.0000)
Li (0.0000, 0.0000, 0.2479)
Li (0.0000, 0.0000, 0.5000)
Li (0.0000, 0.0000, 0.7521)
Li (0.0000, 0.5000, 0.1207)
Li (0.0000, 0.5000, 0.3733)
Li (0.0000, 0.5000, 0.6267)
Li (0.0000, 0.5000, 0.8793)
Li (0.5000, 0.0000, 0.1207)
Li (0.5000, 0.0000, 0.3733)
Li (0.5000, 0.0000, 0.6267)
Li (0.5000, 0.0000, 0.8793)
Pd (0.5000, 0.5000, 0.0000)
Au (0.5000, 0.5000, 0.2460)
Au (0.5000, 0.5000, 0.5000)
Au (0.5000, 0.5000, 0.7540)

Values from the calculation:
symmetry	No. 123
formation energy from the elements	-0.344	eV/atom
calculated total energy	-2.718	eV/atom
D(E_F)	4.511	states/eV/cell

***

4.
An optimized crystal structure of Tm2CoHgC, computed with PBE.

Unit cell a=4.9662 b=4.9662 c=3.6808 alpha=90.00 beta=90.00 gamma=90.00
Positions (direct):
Tm (0.0000, 0.5000, 0.0000)
Tm (0.5000, 0.0000, 0.0000)
Co (0.0000, 0.0000, 0.5000)
Hg (0.5000, 0.5000, 0.5000)
C (0.0000, 0.0000, 0.0000)

Values from the calculation:
symmetry	No. 123
formation energy from the elements	-0.431	eV/atom
calculated total energy	-5.546	eV/atom
D(E_F)	2.924	states/eV/cell

***

5.
An optimized crystal structure of NdMg9Pt2, computed with PBE.

Unit cell a=9.0573 b=9.0573 c=9.0573 alpha=99.93 beta=99.93 gamma=130.93
Positions (direct):
Nd (0.3750, 0.6250, 0.7500)
Nd (0.6250, 0.3750, 0.2500)
Mg (0.1250, 0.8750, 0.2500)
Mg (0.1372, 0.5679, 0.3253)
Mg (0.1372, 0.8119, 0.5693)
Mg (0.1881, 0.2574, 0.3253)
Mg (0.1881, 0.8628, 0.9307)
Mg (0.2574, 0.1881, 0.8253)
Mg (0.2574, 0.4321, 0.0693)
Mg (0.4321, 0.2574, 0.5693)
Mg (0.4321, 0.8628, 0.1747)
Mg (0.5679, 0.1372, 0.8253)
Mg (0.5679, 0.7426, 0.4307)
Mg (0.7426, 0.5679, 0.9307)
Mg (0.7426, 0.8119, 0.1747)
Mg (0.8119, 0.1372, 0.0693)
Mg (0.8119, 0.7426, 0.6747)
Mg (0.8628, 0.1881, 0.4307)
Mg (0.8628, 0.4321, 0.6747)
Mg (0.8750, 0.1250, 0.7500)
Pt (0.0000, 0.0000, 0.0000)
Pt (0.0000, 0.0000, 0.5000)
Pt (0.0000, 0.5000, 0.0000)
Pt (0.5000, 0.0000, 0.5000)

Values from the calculation:
symmetry	No. 141
formation energy from the elements	-0.389	eV/atom
calculated total energy	-2.989	eV/atom
D(E_F)	16.787	states/eV/cell

***

6.
An optimized crystal structure of Zn5Ge, computed with PBE.

Unit cell a=4.0025 b=12.0925 c=3.9459 alpha=90.00 beta=90.00 gamma=90.00
Positions (direct):
Zn (0.0000, 0.0000, 0.0000)
Zn (0.0000, 0.1708, 0.5000)
Zn (0.0000, 0.3292, 0.0000)
Zn (0.0000, 0.6708, 0.0000)
Zn (0.0000, 0.8292, 0.5000)
Zn (0.5000, 0.1708, 0.0000)
Zn (0.5000, 0.3292, 0.5000)
Zn (0.5000, 0.5000, 0.0000)
Zn (0.5000, 0.6708, 0.5000)
Zn (0.5000, 0.8292, 0.0000)
Ge (0.0000, 0.5000, 0.5000)
Ge (0.5000, 0.0000, 0.5000)

Values from the calculation:
symmetry	No. 65
formation energy from the elements	0.090	eV/atom
calculated total energy	-1.742	eV/atom
D(E_F)	3.391	states/eV/cell